Here is an optimized crystal structure of K2LiBi from Alexandria via LeMat-Bulk. Energies are from PBE.

Computed properties:
N(E_F): 0.5091 states/eV per atom
formation energy: -371 meV/atom
symmetry: No. 12

Cell and atoms, written as POSCAR:
```
K2LiBi
1.0
5.339 -3.079 0.000
5.339 3.079 0.000
-0.080 0.000 5.335
K Li Bi
2 1 1
Direct
0.168 0.168 0.192 K
0.832 0.832 0.808 K
0.500 0.500 0.500 Li
0.500 0.500 0.000 Bi
```